1.
Here is a relaxed structure of Ca3C from Alexandria via LeMat-Bulk. Energies are from PBE.

Calculated values
* theoretical density: 1.7 g/cm³
* M_tot: 0.000 μB per formula unit
* calculated formation energy: 1.6 eV/f.u.

Structure (extended XYZ):
```
8
Lattice="4.628 -8.016 0.000 4.628 8.016 0.000 0.000 0.000 3.542" Properties=species:S:1:pos:R:3 pbc="T T T"
Ca 6.187 -1.772 0.885
Ca 3.069 -1.772 0.885
Ca 4.628 -4.472 0.885
Ca 3.069 1.772 2.656
Ca 6.187 1.772 2.656
Ca 4.628 4.472 2.656
C 4.628 2.672 0.885
C 4.628 -2.672 2.656
```

---

2.
Here is a relaxed structure of HoEr5Th4 from Alexandria via LeMat-Bulk. Energies are from PBE.

Calculated values
* theoretical density: 9.6 g/cm³
* M_tot: 0.003 μB per formula unit
* calculated formation energy: 4.0 eV/f.u.

Structure (extended XYZ):
```
20
Lattice="8.534 0.000 0.000 0.000 11.667 0.000 0.000 0.000 6.679" Properties=species:S:1:pos:R:3 pbc="T T T"
Ho 3.894 0.000 0.000
Ho 4.640 5.834 3.339
Er 1.573 9.140 5.073
Er 1.573 2.527 5.073
Er 6.773 5.834 0.000
Er 1.573 9.140 1.606
Er 1.573 2.527 1.606
Er 6.961 8.360 1.734
Er 6.961 3.307 1.734
Er 1.761 0.000 3.339
Er 6.961 3.307 4.945
Er 6.961 8.360 4.945
Th 7.326 0.000 4.998
Th 3.997 7.537 0.000
Th 3.997 4.130 0.000
Th 7.326 0.000 1.681
Th 1.208 5.834 1.659
Th 4.537 9.963 3.339
Th 4.537 1.704 3.339
Th 1.208 5.834 5.020
```

---

3.
Here is a relaxed structure of La2Sm3Y8 from Alexandria via LeMat-Bulk. Energies are from PBE.

Calculated values
* theoretical density: 5.2 g/cm³
* M_tot: 0.000 μB per formula unit
* calculated formation energy: 3.4 eV/f.u.

Structure (extended XYZ):
```
13
Lattice="6.800 0.000 0.587 0.000 9.094 0.000 -1.768 -4.547 7.281" Properties=species:S:1:pos:R:3 pbc="T T T"
La 1.078 0.000 3.120
La 3.954 4.547 4.748
Sm 3.400 0.000 0.294
Sm 0.000 1.547 0.000
Sm 0.000 7.547 0.000
Y 5.676 4.547 1.767
Y -0.644 0.000 6.102
Y 4.534 0.000 3.467
Y 0.498 4.547 4.402
Y 2.507 1.626 6.004
Y 2.507 -1.626 6.004
Y 2.525 6.173 1.865
Y 2.525 2.921 1.865
```

---

4.
Here is a relaxed structure of LaHf2GeO8 from Alexandria via LeMat-Bulk. Energies are from PBE.

Calculated values
* theoretical density: 7.3 g/cm³
* M_tot: 0.914 μB per formula unit
* formation energy from raw total energies: -2.74 eV per atom

Structure (extended XYZ):
```
12
Lattice="-1.081 -4.601 -1.201 -0.904 -1.254 4.625 -6.397 1.709 -0.788" Properties=species:S:1:pos:R:3 pbc="T T T"
La -3.198 0.855 -0.394
Hf -5.845 -1.631 1.115
Hf -2.537 -2.515 1.522
Ge 0.000 0.000 0.000
O -2.226 -1.570 3.316
O -1.402 -4.133 2.418
O -2.334 -3.597 -0.209
O -6.156 -2.575 -0.680
O -6.981 -0.012 0.219
O -6.049 -0.549 2.846
O -4.532 -3.076 1.907
O -3.851 -1.070 0.730
```

---

5.
Here is a relaxed structure of AlInSi from Alexandria via LeMat-Bulk. Energies are from PBE.

Calculated values
* theoretical density: 4.0 g/cm³
* M_tot: 0.000 μB per formula unit
* formation energy from raw total energies: 0.51 eV per atom

Structure (extended XYZ):
```
3
Lattice="4.637 0.000 0.000 2.319 4.016 0.000 2.319 1.339 3.786" Properties=species:S:1:pos:R:3 pbc="T T T"
Si 0.000 0.000 0.000
Al 4.637 2.677 1.893
In 6.956 4.016 2.840
```

---

6.
Here is a relaxed structure of SmYTc4 from Alexandria via LeMat-Bulk. Energies are from PBE.

Calculated values
* theoretical density: 9.2 g/cm³
* M_tot: 0.007 μB per formula unit
* calculated formation energy: -0.4 eV/f.u.

Structure (extended XYZ):
```
6
Lattice="5.437 0.000 0.000 2.718 4.708 0.000 2.718 1.569 4.439" Properties=species:S:1:pos:R:3 pbc="T T T"
Y 0.000 0.000 0.000
Tc 5.437 3.139 0.554
Tc 5.437 1.569 2.775
Tc 6.796 3.924 2.775
Tc 4.077 3.924 2.775
Sm 2.718 1.569 1.110
```

---

7.
Here is a relaxed structure of Na2PuUSe4 from Alexandria via LeMat-Bulk. Energies are from PBE.

Calculated values
* theoretical density: 6.6 g/cm³
* M_tot: 8.000 μB per formula unit
* formation energy from raw total energies: -1.31 eV per atom

Structure (extended XYZ):
```
8
Lattice="-2.154 0.205 3.582 5.542 -3.126 3.512 0.900 7.330 0.122" Properties=species:S:1:pos:R:3 pbc="T T T"
Na -0.627 3.768 1.852
Na 3.221 2.102 1.817
Pu 1.694 -1.460 3.547
U 0.000 0.000 0.000
Se 0.461 1.053 2.661
Se 3.827 3.356 4.554
Se 2.082 4.848 0.975
Se 4.360 -0.644 2.659
```

---

8.
Here is a relaxed structure of SrPuTlAu from Alexandria via LeMat-Bulk. Energies are from PBE.

Calculated values
* theoretical density: 10.7 g/cm³
* M_tot: 5.922 μB per formula unit
* calculated formation energy: -1.1 eV/f.u.

Structure (extended XYZ):
```
4
Lattice="5.446 0.000 0.000 2.723 4.716 0.000 2.723 1.572 4.447" Properties=species:S:1:pos:R:3 pbc="T T T"
Sr 2.723 1.572 1.112
Tl 5.446 3.144 2.223
Au 0.000 0.000 0.000
Pu 8.169 4.716 3.335
```

---

Going through the records in order, we get density of states at the Fermi level values of 2.69 14.10 21.38 5.62 1.09 9.12 16.36 13.59 states/eV/f.u..
Going through the records in order, we get volume values of 131.4 332.5 459.7 158.4 70.5 113.6 212.3 114.2 Å³/f.u..